DFT (PBE) results for an optimized crystal structure of LuPaSi.

extended XYZ file:
```
3
Lattice="4.8046 0.0000 0.0000 -2.4023 4.1609 0.0000 0.0000 0.0000 3.4707" Properties=species:S:1:pos:R:3 pbc="T T T"
Lu 0.0000 0.0000 0.0000
Pa 0.0000 2.7739 1.6567
Si 2.4023 1.3870 2.7582
```

Values from the calculation:
Total energy in eV per atom: -6.47
Total magnetic moment in μB per atom: 0.00
Uncorrected formation energy in meV/atom: 9
DOS(E_F) in states/eV/f.u.: 4.90

DFT (PBE) results for an optimized crystal structure of BePdSe.

extended XYZ file:
```
6
Lattice="3.5497 0.0000 0.0000 0.0000 3.3269 0.0000 -0.1142 0.0000 8.9730" Properties=species:S:1:pos:R:3 pbc="T T T"
Be 0.8281 0.8317 2.9741
Be 2.6075 2.4952 5.9989
Pd 0.8319 0.8317 5.2896
Pd 2.6036 2.4952 3.6834
Se 0.8322 2.4952 7.2939
Se 2.6034 0.8317 1.6791
```

Values from the calculation:
Total energy in eV per atom: -4.54
Total magnetic moment in μB per atom: 0.00
Uncorrected formation energy in meV/atom: -407
DOS(E_F) in states/eV/f.u.: 0.70

DFT (PBE) results for an optimized crystal structure of GdZrIn2.

extended XYZ file:
```
4
Lattice="3.2871 0.0000 0.0000 0.0000 3.2871 0.0000 0.0000 0.0000 9.0120" Properties=species:S:1:pos:R:3 pbc="T T T"
Gd 0.0000 0.0000 0.0000
Zr 0.0000 0.0000 4.5060
In 1.6436 1.6436 2.3711
In 1.6436 1.6436 6.6409
```

Values from the calculation:
Total energy in eV per atom: -7.41
Energy relative to the elements in eV per atom: -0.383
Total magnetic moment in μB per atom: 1.85
DOS(E_F) in states/eV/f.u.: 4.15
Energy above the most stable polymorph in this dataset in eV/atom: 0.000

DFT (PBE) results for an optimized crystal structure of MoPRh2.

extended XYZ file:
```
4
Lattice="1.4141 0.8164 8.2118 -1.4141 0.8164 8.2118 0.0000 -1.6329 8.2118" Properties=species:S:1:pos:R:3 pbc="T T T"
Mo 0.0000 0.0000 0.0000
P 0.0000 0.0000 6.2006
Rh 0.0000 0.0000 12.6718
Rh 0.0000 0.0000 18.5323
```

Values from the calculation:
Total energy in eV per atom: -7.89
Energy relative to the elements in eV per atom: -0.155
Total magnetic moment in μB per atom: 0.00
DOS(E_F) in states/eV/f.u.: 3.62

DFT (PBE) results for an optimized crystal structure of PmTmCoGe.

extended XYZ file:
```
4
Lattice="0.0000 3.5004 3.5004 3.5004 0.0000 3.5004 3.5004 3.5004 0.0000" Properties=species:S:1:pos:R:3 pbc="T T T"
Pm 0.0000 0.0000 0.0000
Tm 3.5004 3.5004 3.5004
Co 5.2506 5.2506 5.2506
Ge 1.7502 1.7502 1.7502
```

Values from the calculation:
Total energy in eV per atom: -5.59
Energy relative to the elements in eV per atom: -0.357
Total magnetic moment in μB per atom: 0.19
DOS(E_F) in states/eV/f.u.: 1.88

DFT (PBE) results for an optimized crystal structure of AlFeTe3.

extended XYZ file:
```
5
Lattice="5.0698 0.0000 0.0000 0.0000 5.0698 0.0000 0.0000 0.0000 5.0698" Properties=species:S:1:pos:R:3 pbc="T T T"
Al 0.0000 0.0000 0.0000
Fe 2.5349 2.5349 2.5349
Te 0.0000 2.5349 2.5349
Te 2.5349 0.0000 2.5349
Te 2.5349 2.5349 0.0000
```

Values from the calculation:
Total energy in eV per atom: -3.81
Total magnetic moment in μB per atom: 0.00
Uncorrected formation energy in meV/atom: 518
DOS(E_F) in states/eV/f.u.: 9.60
Energy above the most stable polymorph in this dataset in eV/atom: 0.000

DFT (PBE) results for an optimized crystal structure of PuNpSb2.

extended XYZ file:
```
4
Lattice="2.1181 1.2229 7.8716 -2.1181 1.2229 7.8716 0.0000 -2.4458 7.8716" Properties=species:S:1:pos:R:3 pbc="T T T"
Pu 0.0000 0.0000 0.0000
Np 0.0000 0.0000 4.0174
Sb 0.0000 0.0000 9.8739
Sb 0.0000 0.0000 13.8381
```

Values from the calculation:
Total energy in eV per atom: -9.15
Total magnetic moment in μB per atom: 0.34
Uncorrected formation energy in meV/atom: -269
DOS(E_F) in states/eV/f.u.: 21.99
Energy above the most stable polymorph in this dataset in eV/atom: 0.163

DFT (PBE) results for an optimized crystal structure of PrTlAs2.

extended XYZ file:
```
4
Lattice="2.3617 1.3635 7.8126 -2.3617 1.3635 7.8126 0.0000 -2.7271 7.8126" Properties=species:S:1:pos:R:3 pbc="T T T"
Pr 0.0000 0.0000 0.0000
Tl 0.0000 0.0000 11.7189
As 0.0000 0.0000 9.1860
As 0.0000 0.0000 14.2518
```

Values from the calculation:
Total energy in eV per atom: -4.45
Energy relative to the elements in eV per atom: -0.336
Total magnetic moment in μB per atom: 0.00
DOS(E_F) in states/eV/f.u.: 0.31